# TaAuN3, relaxed, DFT PBE
# DOS(E_F) in states/eV per atom: 0.519
# E in eV/atom: -7.180
# Energy relative to the elements, uncorrected in meV per atom: 841
# Theoretical density in Mg/m³: 10.2
# Symmetry: Pm-3m, No. 221
data_TaAuN3
_chemical_formula_sum 'Ta1 Au1 N3'
_space_group_name_H-M_alt 'P 1'
_space_group_IT_number 1
_cell_length_a 4.084
_cell_length_b 4.084
_cell_length_c 4.084
_cell_angle_alpha 90.00
_cell_angle_beta 90.00
_cell_angle_gamma 90.00
loop_
_space_group_symop_operation_xyz
'x,y,z'
loop_
_atom_site_label
_atom_site_type_symbol
_atom_site_fract_x
_atom_site_fract_y
_atom_site_fract_z
N1 N 0.000 0.000 0.500
N2 N 0.500 0.000 0.000
N3 N 0.000 0.500 0.000
Au1 Au 0.500 0.500 0.500
Ta1 Ta 0.000 0.000 0.000

=====

# TaAuN2, relaxed, DFT PBE
# DOS(E_F) in states/eV per atom: 0.064
# E in eV/atom: -7.052
# Energy relative to the elements, uncorrected in meV per atom: 893
# Theoretical density in Mg/m³: 14.8
# Symmetry: Fm-3m, No. 225
data_TaAuN2
_chemical_formula_sum 'Ta1 Au1 N2'
_space_group_name_H-M_alt 'P 1'
_space_group_IT_number 1
_cell_length_a 4.005
_cell_length_b 4.005
_cell_length_c 4.005
_cell_angle_alpha 60.00
_cell_angle_beta 60.00
_cell_angle_gamma 60.00
loop_
_space_group_symop_operation_xyz
'x,y,z'
loop_
_atom_site_label
_atom_site_type_symbol
_atom_site_fract_x
_atom_site_fract_y
_atom_site_fract_z
Ta1 Ta 0.000 0.000 0.000
N1 N 0.250 0.250 0.250
N2 N 0.750 0.750 0.750
Au1 Au 0.500 0.500 0.500

=====

# TaAuN2, relaxed, DFT PBE
# DOS(E_F) in states/eV per atom: 0.000
# E in eV/atom: -8.379
# Energy relative to the elements, uncorrected in meV per atom: -434
# Theoretical density in Mg/m³: 12.3
# Symmetry: R-3m, No. 166
data_TaAuN2
_chemical_formula_sum 'Ta1 Au1 N2'
_space_group_name_H-M_alt 'P 1'
_space_group_IT_number 1
_cell_length_a 6.555
_cell_length_b 6.555
_cell_length_c 6.555
_cell_angle_alpha 27.94
_cell_angle_beta 27.94
_cell_angle_gamma 27.94
loop_
_space_group_symop_operation_xyz
'x,y,z'
loop_
_atom_site_label
_atom_site_type_symbol
_atom_site_fract_x
_atom_site_fract_y
_atom_site_fract_z
N1 N 0.890 0.890 0.890
N2 N 0.110 0.110 0.110
Ta1 Ta 0.500 0.500 0.500
Au1 Au 0.000 0.000 0.000

=====

# TaAuN, relaxed, DFT PBE
# DOS(E_F) in states/eV per atom: 0.252
# E in eV/atom: -8.092
# Energy relative to the elements, uncorrected in meV per atom: -274
# Theoretical density in Mg/m³: 13.6
# Symmetry: C2/m, No. 12
data_TaAuN
_chemical_formula_sum 'Ta2 Au2 N2'
_space_group_name_H-M_alt 'P 1'
_space_group_IT_number 1
_cell_length_a 3.333
_cell_length_b 5.726
_cell_length_c 5.681
_cell_angle_alpha 111.10
_cell_angle_beta 107.06
_cell_angle_gamma 90.00
loop_
_space_group_symop_operation_xyz
'x,y,z'
loop_
_atom_site_label
_atom_site_type_symbol
_atom_site_fract_x
_atom_site_fract_y
_atom_site_fract_z
N1 N 0.846 0.177 0.693
N2 N 0.154 0.823 0.307
Ta1 Ta 0.254 0.216 0.508
Ta2 Ta 0.746 0.784 0.492
Au1 Au 0.559 0.277 0.117
Au2 Au 0.441 0.723 0.883

=====

# TaTeAuN2, relaxed, DFT PBE
# DOS(E_F) in states/eV per atom: 0.414
# E in eV/atom: -6.707
# Energy relative to the elements, uncorrected in meV per atom: 277
# Theoretical density in Mg/m³: 9.1
# Symmetry: P4/mmm, No. 123
data_TaTeAuN2
_chemical_formula_sum 'Ta1 Te1 Au1 N2'
_space_group_name_H-M_alt 'P 1'
_space_group_IT_number 1
_cell_length_a 3.996
_cell_length_b 3.996
_cell_length_c 6.072
_cell_angle_alpha 90.00
_cell_angle_beta 90.00
_cell_angle_gamma 90.00
loop_
_space_group_symop_operation_xyz
'x,y,z'
loop_
_atom_site_label
_atom_site_type_symbol
_atom_site_fract_x
_atom_site_fract_y
_atom_site_fract_z
Au1 Au 0.500 0.500 0.500
N1 N 0.000 0.500 0.000
N2 N 0.500 0.000 0.000
Ta1 Ta 0.000 0.000 0.000
Te1 Te 0.000 0.000 0.500

=====

# TaTeAuN2, relaxed, DFT PBE
# DOS(E_F) in states/eV per atom: 1.076
# E in eV/atom: -4.887
# Energy relative to the elements, uncorrected in meV per atom: 2097
# Theoretical density in Mg/m³: 9.8
# Symmetry: P4/mmm, No. 123
data_TaTeAuN2
_chemical_formula_sum 'Ta1 Te1 Au1 N2'
_space_group_name_H-M_alt 'P 1'
_space_group_IT_number 1
_cell_length_a 4.058
_cell_length_b 4.058
_cell_length_c 5.479
_cell_angle_alpha 90.00
_cell_angle_beta 90.00
_cell_angle_gamma 90.00
loop_
_space_group_symop_operation_xyz
'x,y,z'
loop_
_atom_site_label
_atom_site_type_symbol
_atom_site_fract_x
_atom_site_fract_y
_atom_site_fract_z
Te1 Te 0.000 0.000 0.500
Au1 Au 0.000 0.000 0.000
Ta1 Ta 0.500 0.500 0.500
N1 N 0.500 0.000 0.000
N2 N 0.000 0.500 0.000

=====

Which of these has the lowest theoretical density? number 5

=====

Look up the E of the fifth one. -6.707 eV/atom

=====

Among the records above, which one has the highest theoretical density? number 2